## Cs2CrPdO4 (GGA+U)

Data for a relaxed structure of Cs2CrPdO4.

Geometry as CIF:
```
data_Cs2CrPdO4
_chemical_formula_sum 'Cs4 Cr2 Pd2 O8'
_cell_length_a 5.116
_cell_length_b 6.920
_cell_length_c 11.246
_cell_angle_alpha 85.18
_cell_angle_beta 76.85
_cell_angle_gamma 68.31
_space_group_name_H-M_alt 'P 1'
_space_group_IT_number 1
_space_group_name_Hall 'P 1'
loop_
_atom_site_label
_atom_site_type_symbol
_atom_site_fract_x
_atom_site_fract_y
_atom_site_fract_z
Cs1 Cs 0.174 0.000 0.652
Cs2 Cs 0.826 0.000 0.348
Cs3 Cs 0.576 0.500 0.848
Cs4 Cs 0.924 0.500 0.152
Cr1 Cr 0.750 0.500 0.500
Cr2 Cr 0.000 0.000 0.000
Pd1 Pd 0.250 0.500 0.500
Pd2 Pd 0.500 0.000 0.000
O1 O 0.201 0.834 0.097
O2 O 0.132 0.166 0.903
O3 O 0.965 0.834 0.903
O4 O 0.702 0.166 0.097
O5 O 0.549 0.666 0.403
O6 O 0.618 0.334 0.597
O7 O 0.785 0.666 0.597
O8 O 0.048 0.334 0.403
```

Summary:
Uncorrected energy: -5.47 eV/atom
Symmetry: No. 70
Magnetic moment: 0.2 μB/cell
Crystal system: orthorhombic